Record 1
Density functional theory data (PBE) for a relaxed ErTh3Sc4 crystal.

Computed properties:
ΔH_f (0 K), kJ per mole of atoms: 4.6
Polymorph energy (0 for the lowest one), meV per atom: 0.0
Crystal system: orthorhombic
DOS at the Fermi energy, states/eV/cell: 9.10

Cell lengths 3.7104, 5.4913, 10.9922 Å; angles 90.00, 90.00, 90.00 degrees
With the nearest neighbours (Å) after each atom.
Fractional positions:
Er: 0.0000 0.0000 0.0000  8 Sc 3.31-3.34, 2 Er 3.71
Th: 0.0000 0.0000 0.5000  8 Sc 3.29-3.31
Th: 0.0000 0.5000 0.2465  8 Sc 3.28-3.35
Th: 0.0000 0.5000 0.7535  8 Sc 3.28-3.35
Sc: 0.5000 0.0000 0.2527  6 Th 3.29-3.31, 2 Er 3.34
Sc: 0.5000 0.0000 0.7473  6 Th 3.29-3.31, 2 Er 3.34
Sc: 0.5000 0.5000 0.0000  4 Th 3.28, 4 Er 3.31
Sc: 0.5000 0.5000 0.5000  8 Th 3.31-3.35, 2 Sc 3.71


Record 2
Density functional theory data (PBE) for a relaxed CsDy2ReO8 crystal.

Computed properties:
ΔE_f (raw), meV per atom: -2206
Crystal system: monoclinic

Cell lengths 4.9594, 4.9594, 7.8127 Å; angles 91.22, 91.22, 90.77 degrees
With the nearest neighbours (Å) after each atom.
Fractional positions:
Cs: 0.0000 0.0000 0.0000  6 O 2.73-2.89
Dy: 0.4921 0.4921 0.7151  6 O 2.24-2.36
Dy: 0.5079 0.5079 0.2849  6 O 2.24-2.36
Re: 0.0000 0.0000 0.5000  6 O 1.88-1.96
O: 0.1730 0.7991 0.3289  1 Re 1.88
O: 0.2009 0.8270 0.6711  1 Re 1.88
O: 0.2810 0.2810 0.4898  1 Re 1.96
O: 0.3916 0.3916 0.9976  1 O 1.51
O: 0.6084 0.6084 0.0024  1 O 1.51
O: 0.7190 0.7190 0.5102  1 Re 1.96
O: 0.7991 0.1730 0.3289  1 Re 1.88
O: 0.8270 0.2009 0.6711  1 Re 1.88


Record 3
Density functional theory data (PBE) for a relaxed Be2CrCl crystal.

Computed properties:
ΔE_f (raw), meV per atom: 663
Polymorph energy (0 for the lowest one), meV per atom: 469.3
Crystal system: orthorhombic
DOS at the Fermi energy, states/eV/cell: 1.79

Cell lengths 2.7571, 3.9141, 5.1629 Å; angles 90.00, 90.00, 90.00 degrees
With the nearest neighbours (Å) after each atom.
Fractional positions:
Be: 0.0000 0.0000 0.0000  4 Be 2.39
Be: 0.5000 0.5000 0.0000  4 Be 2.39
Cr: 0.0000 0.5000 0.5000  4 Cl 2.39
Cl: 0.5000 0.0000 0.5000  4 Cr 2.39


Record 4
Density functional theory data (PBE) for a relaxed NaBeAgPd2 crystal.

Computed properties:
ΔH_f (0 K), kJ per mole of atoms: 107.0
Polymorph energy (0 for the lowest one), meV per atom: 1199.2
Crystal system: tetragonal
DOS at the Fermi energy, states/eV/cell: 0.86

Cell lengths 4.6290, 4.6290, 4.3409 Å; angles 90.00, 90.00, 90.00 degrees
With the nearest neighbours (Å) after each atom.
Fractional positions:
Na: 0.0000 0.0000 0.0000  2 Be 2.17, 4 Pd 2.31
Be: 0.0000 0.0000 0.5000  2 Na 2.17
Ag: 0.5000 0.5000 0.5000  8 Pd 3.17, 4 Be 3.27
Pd: 0.0000 0.5000 0.0000  2 Na 2.31
Pd: 0.5000 0.0000 0.0000  2 Na 2.31


Record 5
Density functional theory data (PBE) for a relaxed Ce2SmCd crystal.

Computed properties:
ΔH_f (0 K), kJ per mole of atoms: 9.5
Polymorph energy (0 for the lowest one), meV per atom: 115.8
Crystal system: cubic
DOS at the Fermi energy, states/eV/cell: 13.09

Cell lengths 5.4931, 5.4931, 5.4931 Å; angles 60.00, 60.00, 60.00 degrees
With the nearest neighbours (Å) after each atom.
Fractional positions:
Ce: 0.2500 0.2500 0.2500  4 Cd 3.36, 4 Sm 3.36
Ce: 0.7500 0.7500 0.7500  4 Cd 3.36, 4 Sm 3.36
Sm: 0.0000 0.0000 0.0000  8 Ce 3.36
Cd: 0.5000 0.5000 0.5000  8 Ce 3.36


Record 6
Density functional theory data (PBE) for a relaxed CsInO3 crystal.

Computed properties:
ΔE_f (raw), meV per atom: 444
Crystal system: cubic
DOS at the Fermi energy, states/eV/cell: 3.00

Cell lengths 4.4555, 4.4555, 4.4555 Å; angles 90.00, 90.00, 90.00 degrees
With the nearest neighbours (Å) after each atom.
Fractional positions:
Cs: 0.0000 0.0000 0.0000  6 O 2.23
In: 0.5000 0.5000 0.5000  12 O 3.15
O: 0.0000 0.0000 0.5000  2 Cs 2.23
O: 0.0000 0.5000 0.0000  2 Cs 2.23
O: 0.5000 0.0000 0.0000  2 Cs 2.23


no.,volume (Å³ per atom),E_tot (eV/atom)
1,28.00,-6.47
2,16.00,-7.39
3,13.93,-4.07
4,18.60,-2.55
5,29.30,-4.28
6,17.69,-3.25